VASP calculation (PBE-GGA) on an optimized crystal structure of HfMgGa3.

Computed properties:
For the calculated formation energy, the calculation gives -0.6 eV/f.u. The space group is P2_1/m (11). The total magnetization is 0.000 μB/atom. For the relative energy among the computed polymorphs, the calculation gives 0.0 meV/atom.

Cell lengths 5.3953, 5.6158, 6.7240 Å; angles 90.00, 112.89, 90.00 degrees
Closest atoms and distances in Å follow each position.
Fractional positions:
Hf1 0.9779 0.7500 0.7481  7 Ga 2.81-3.00, 1 Mg 3.11
Hf2 0.0221 0.2500 0.2519  7 Ga 2.81-3.00, 1 Mg 3.11
Mg1 0.6291 0.7500 0.0225  6 Ga 2.76-3.07
Mg2 0.3709 0.2500 0.9775  6 Ga 2.76-3.07
Ga1 0.6448 0.0129 0.3822  4 Ga 2.63-2.91, 2 Mg 2.81-2.87, 2 Hf 2.83-2.84
Ga2 0.3552 0.5129 0.6178  4 Ga 2.63-2.91, 2 Mg 2.81-2.87, 2 Hf 2.83-2.84
Ga3 0.8150 0.2500 0.7991  4 Ga 2.73-2.91, 1 Mg 2.76, 3 Hf 2.81-3.00
Ga4 0.1850 0.7500 0.2009  4 Ga 2.73-2.91, 1 Mg 2.76, 3 Hf 2.81-3.00
Ga5 0.3552 0.9871 0.6178  4 Ga 2.63-2.91, 2 Mg 2.81-2.87, 2 Hf 2.83-2.84
Ga6 0.6448 0.4871 0.3822  4 Ga 2.63-2.91, 2 Mg 2.81-2.87, 2 Hf 2.83-2.84